No. 1
! NiTe2Se, optimized geometry, DFT GGA-PBE; values from VASP
! Symmetry   No. 52
! Formation energy (no corrections)   -0.122 eV/atom
! Mass density   7.055 Mg/m³
&SYSTEM
  ibrav = 0, nat = 16, ntyp = 3
/
ATOMIC_SPECIES
Ni 58.69 Ni.upf
Te 127.60 Te.upf
Se 78.96 Se.upf
CELL_PARAMETERS angstrom
6.8770 0.0000 0.0000
0.0000 4.9534 0.0000
0.0000 0.0000 10.8569
ATOMIC_POSITIONS angstrom
Ni 1.7192 0.0000 1.0372
Ni 1.7192 2.4767 4.3913
Ni 5.1577 0.0000 9.8198
Ni 5.1577 2.4767 6.4656
Te 0.4283 1.1164 6.2993
Te 0.4283 1.3603 9.9861
Te 3.0102 3.5931 9.9861
Te 3.0102 3.8370 6.2993
Te 3.8668 1.1164 4.5576
Te 3.8668 1.3603 0.8708
Te 6.4487 3.5931 0.8708
Te 6.4487 3.8370 4.5576
Se 0.4899 1.2384 2.7142
Se 2.9486 3.7151 2.7142
Se 3.9284 1.2384 8.1427
Se 6.3871 3.7151 8.1427



No. 2
! NiTeSe2, optimized geometry, DFT GGA-PBE; values from VASP
! Symmetry   No. 8
! Formation energy (no corrections)   -0.080 eV/atom
! Mass density   6.417 Mg/m³
&SYSTEM
  ibrav = 0, nat = 8, ntyp = 3
/
ATOMIC_SPECIES
Ni 58.69 Ni.upf
Te 127.60 Te.upf
Se 78.96 Se.upf
CELL_PARAMETERS angstrom
6.6070 0.0000 0.0000
0.0000 3.8178 0.0000
-0.0164 0.0000 7.0628
ATOMIC_POSITIONS angstrom
Ni 0.0000 0.0000 0.0000
Ni 3.3035 1.9089 0.0000
Te 1.1034 1.9089 1.4878
Te 4.4069 0.0000 1.4878
Se 2.1863 0.0000 6.0608
Se 2.1966 0.0000 3.5541
Se 5.4898 1.9089 6.0608
Se 5.5001 1.9089 3.5541



No. 3
! NiTe2Se, optimized geometry, DFT GGA-PBE; values from VASP
! Symmetry   No. 65
! Formation energy (no corrections)   -0.015 eV/atom
! Mass density   7.122 Mg/m³
&SYSTEM
  ibrav = 0, nat = 8, ntyp = 3
/
ATOMIC_SPECIES
Ni 58.69 Ni.upf
Te 127.60 Te.upf
Se 78.96 Se.upf
CELL_PARAMETERS angstrom
5.5137 0.0000 0.0000
0.0000 8.5478 0.0000
0.0000 0.0000 3.8870
ATOMIC_POSITIONS angstrom
Ni 0.0000 0.0000 0.0000
Ni 2.7568 4.2739 0.0000
Te 0.0000 1.6471 1.9435
Te 0.0000 6.9008 1.9435
Te 2.7568 2.6268 1.9435
Te 2.7568 5.9210 1.9435
Se 0.0000 4.2739 0.0000
Se 2.7568 0.0000 0.0000



No. 4
! NiTe2Se, optimized geometry, DFT GGA-PBE; values from VASP
! Symmetry   No. 122
! Formation energy (no corrections)   0.087 eV/atom
! Mass density   5.650 Mg/m³
&SYSTEM
  ibrav = 0, nat = 16, ntyp = 3
/
ATOMIC_SPECIES
Ni 58.69 Ni.upf
Te 127.60 Te.upf
Se 78.96 Se.upf
CELL_PARAMETERS angstrom
6.3255 0.0000 0.0000
0.0000 6.3255 0.0000
0.0000 0.0000 11.5425
ATOMIC_POSITIONS angstrom
Ni 0.0000 0.0000 0.0000
Ni 0.0000 3.1628 2.8856
Ni 3.1628 0.0000 8.6569
Ni 3.1628 3.1628 5.7713
Te 1.1657 1.5814 1.4428
Te 1.5814 4.3284 4.3285
Te 1.5814 5.1598 10.0997
Te 1.9971 1.5814 7.2141
Te 4.3284 4.7441 7.2141
Te 4.7441 1.1657 10.0997
Te 4.7441 1.9971 4.3285
Te 5.1598 4.7441 1.4428
Se 0.0000 0.0000 5.7713
Se 0.0000 3.1628 8.6569
Se 3.1628 0.0000 2.8856
Se 3.1628 3.1628 0.0000



No. 5
! NiTeSe2, optimized geometry, DFT GGA-PBE; values from VASP
! Symmetry   No. 65
! Formation energy (no corrections)   -0.077 eV/atom
! Mass density   7.085 Mg/m³
&SYSTEM
  ibrav = 0, nat = 8, ntyp = 3
/
ATOMIC_SPECIES
Ni 58.69 Ni.upf
Te 127.60 Te.upf
Se 78.96 Se.upf
CELL_PARAMETERS angstrom
5.3941 0.0000 0.0000
0.0000 8.4930 0.0000
0.0000 0.0000 3.5219
ATOMIC_POSITIONS angstrom
Ni 0.0000 0.0000 0.0000
Ni 2.6970 4.2465 0.0000
Te 0.0000 4.2465 0.0000
Te 2.6970 0.0000 0.0000
Se 0.0000 1.6358 1.7610
Se 0.0000 6.8572 1.7610
Se 2.6970 2.6107 1.7610
Se 2.6970 5.8824 1.7610



No. 6
! Ni2TeSe, optimized geometry, DFT GGA-PBE; values from VASP
! Symmetry   No. 10
! Formation energy (no corrections)   -0.052 eV/atom
! Mass density   7.799 Mg/m³
&SYSTEM
  ibrav = 0, nat = 4, ntyp = 3
/
ATOMIC_SPECIES
Ni 58.69 Ni.upf
Te 127.60 Te.upf
Se 78.96 Se.upf
CELL_PARAMETERS angstrom
3.6207 0.0000 0.0000
0.0000 3.6913 0.0000
-0.0452 0.0000 5.1609
ATOMIC_POSITIONS angstrom
Ni 0.0000 0.0000 0.0000
Ni 1.7878 1.8456 2.5805
Te -0.0226 0.0000 2.5805
Se 1.8103 1.8456 0.0000